## i
A plane-wave DFT calculation with PBE was carried out for crystalline KHfBr3 at its relaxed geometry.

a b c (Å): 5.7228 5.7228 5.7228
angles (deg): 90.00 90.00 90.00
Sites, in units of the cell vectors:
K 0.0000 0.0000 0.0000
Hf 0.5000 0.5000 0.5000
Br 0.0000 0.5000 0.0000
Br 0.0000 0.0000 0.5000
Br 0.5000 0.0000 0.0000

Properties
The calculation puts the volume at 187 Å³/f.u.

## ii
A plane-wave DFT calculation with PBE was carried out for crystalline KHfBr3 at its relaxed geometry.

a b c (Å): 5.3638 5.3638 5.3638
angles (deg): 90.00 90.00 90.00
Sites, in units of the cell vectors:
K 0.5000 0.5000 0.5000
Hf 0.0000 0.0000 0.0000
Br 0.0000 0.5000 0.0000
Br 0.0000 0.0000 0.5000
Br 0.5000 0.0000 0.0000

Properties
The calculation puts the volume at 154 Å³/f.u.

So which one is most stable? That would be ii, about 1205 meV per atom below the next structure.

## i
A plane-wave DFT calculation with PBE was carried out for crystalline KRb2HfBr6 at its relaxed geometry.

a b c (Å): 8.1993 8.1993 8.1995
angles (deg): 60.00 60.00 90.00
Sites, in units of the cell vectors:
K 0.5000 0.5000 0.0000
Hf 0.0000 0.0000 0.0000
Br 0.2302 0.2302 0.5396
Br 0.7698 0.7698 0.4604
Br 0.2302 0.2302 0.0000
Br 0.7698 0.7698 0.0000
Br 0.7698 0.2302 0.0000
Br 0.2302 0.7698 0.0000
Rb 0.7500 0.2500 0.5000
Rb 0.2500 0.7500 0.5000

Properties
The calculation puts the volume at 390 Å³/f.u.

## ii
A plane-wave DFT calculation with PBE was carried out for crystalline KRb2HfBr6 at its relaxed geometry.

a b c (Å): 7.8165 7.8165 16.2473
angles (deg): 76.08 76.08 60.00
Sites, in units of the cell vectors:
K 0.5845 0.5845 0.2464
K 0.4155 0.4155 0.7536
Rb 0.8576 0.8576 0.4271
Rb 0.1424 0.1424 0.5729
Rb 0.6905 0.6905 0.9284
Rb 0.3095 0.3095 0.0716
Hf 0.0000 0.0000 0.0000
Hf 0.5000 0.5000 0.5000
Br 0.8588 0.3702 0.4007
Br 0.3702 0.8588 0.4007
Br 0.3702 0.3702 0.4007
Br 0.1412 0.6298 0.5993
Br 0.6298 0.1412 0.5993
Br 0.6298 0.6298 0.5993
Br 0.7118 0.1942 0.8998
Br 0.1942 0.7118 0.8998
Br 0.1942 0.1942 0.8998
Br 0.2882 0.8058 0.1002
Br 0.8058 0.2882 0.1002
Br 0.8058 0.8058 0.1002

Properties
The calculation puts the volume at 413 Å³/f.u.

So which one is most stable? That would be ii, about 15 meV per atom below the next structure.

## i
A plane-wave DFT calculation with PBE was carried out for crystalline LaHfBr3 at its relaxed geometry.

a b c (Å): 5.8663 5.8663 5.8663
angles (deg): 90.00 90.00 90.00
Sites, in units of the cell vectors:
Hf 0.5000 0.5000 0.5000
Br 0.0000 0.5000 0.0000
Br 0.0000 0.0000 0.5000
Br 0.5000 0.0000 0.0000
La 0.0000 0.0000 0.0000

Properties
The calculation puts the volume at 202 Å³/f.u.

## ii
A plane-wave DFT calculation with PBE was carried out for crystalline LaHfBr3 at its relaxed geometry.

a b c (Å): 5.2264 5.2264 5.2264
angles (deg): 90.00 90.00 90.00
Sites, in units of the cell vectors:
Hf 0.0000 0.0000 0.0000
Br 0.0000 0.5000 0.0000
Br 0.0000 0.0000 0.5000
Br 0.5000 0.0000 0.0000
La 0.5000 0.5000 0.5000

Properties
The calculation puts the volume at 143 Å³/f.u.

So which one is most stable? That would be ii, about 171 meV per atom below the next structure.

## i
A plane-wave DFT calculation with PBE was carried out for crystalline LaHfSeBr2 at its relaxed geometry.

a b c (Å): 5.1700 5.1700 5.1826
angles (deg): 90.00 90.00 90.00
Sites, in units of the cell vectors:
Hf 0.0000 0.0000 0.0000
Se 0.0000 0.0000 0.5000
Br 0.0000 0.5000 0.0000
Br 0.5000 0.0000 0.0000
La 0.5000 0.5000 0.5000

Properties
The calculation puts the volume at 139 Å³/f.u.

## ii
A plane-wave DFT calculation with PBE was carried out for crystalline LaHfSeBr2 at its relaxed geometry.

a b c (Å): 5.7801 5.7801 5.8279
angles (deg): 90.00 90.00 90.00
Sites, in units of the cell vectors:
Hf 0.5000 0.5000 0.5000
Se 0.0000 0.0000 0.5000
Br 0.0000 0.5000 0.0000
Br 0.5000 0.0000 0.0000
La 0.0000 0.0000 0.0000

Properties
The calculation puts the volume at 195 Å³/f.u.

So which one is most stable? That would be i, about 505 meV per atom below the next structure.

## i
A plane-wave DFT calculation with PBE was carried out for crystalline LaHfSe2Br at its relaxed geometry.

a b c (Å): 5.7484 5.7484 5.5550
angles (deg): 90.00 90.00 90.00
Sites, in units of the cell vectors:
Hf 0.5000 0.5000 0.5000
Se 0.0000 0.5000 0.0000
Se 0.5000 0.0000 0.0000
Br 0.0000 0.0000 0.5000
La 0.0000 0.0000 0.0000

Properties
The calculation puts the volume at 184 Å³/f.u.

## ii
A plane-wave DFT calculation with PBE was carried out for crystalline LaHfSe2Br at its relaxed geometry.

a b c (Å): 5.1717 5.1717 5.0958
angles (deg): 90.00 90.00 90.00
Sites, in units of the cell vectors:
Hf 0.0000 0.0000 0.0000
Se 0.0000 0.5000 0.0000
Se 0.5000 0.0000 0.0000
Br 0.0000 0.0000 0.5000
La 0.5000 0.5000 0.5000

Properties
The calculation puts the volume at 136 Å³/f.u.

So which one is most stable? That would be ii, about 923 meV per atom below the next structure.

## i
A plane-wave DFT calculation with PBE was carried out for crystalline LiHfBr3 at its relaxed geometry.

a b c (Å): 5.3111 5.3111 5.3111
angles (deg): 90.00 90.00 90.00
Sites, in units of the cell vectors:
Hf 0.0000 0.0000 0.0000
Br 0.0000 0.5000 0.0000
Br 0.0000 0.0000 0.5000
Br 0.5000 0.0000 0.0000
Li 0.5000 0.5000 0.5000

Properties
The calculation puts the volume at 150 Å³/f.u.

## ii
A plane-wave DFT calculation with PBE was carried out for crystalline LiHfBr3 at its relaxed geometry.

a b c (Å): 4.8964 4.8964 4.8964
angles (deg): 90.00 90.00 90.00
Sites, in units of the cell vectors:
Hf 0.5000 0.5000 0.5000
Br 0.0000 0.5000 0.0000
Br 0.0000 0.0000 0.5000
Br 0.5000 0.0000 0.0000
Li 0.0000 0.0000 0.0000

Properties
The calculation puts the volume at 117 Å³/f.u.

So which one is most stable? That would be i, about 406 meV per atom below the next structure.

## i
A plane-wave DFT calculation with PBE was carried out for crystalline LiHfBr2 at its relaxed geometry.

a b c (Å): 8.7470 8.7470 8.7470
angles (deg): 23.55 23.55 23.55
Sites, in units of the cell vectors:
Hf 0.0000 0.0000 0.0000
Br 0.8964 0.8964 0.8964
Br 0.1036 0.1036 0.1036
Li 0.5000 0.5000 0.5000

Properties
The calculation puts the volume at 94 Å³/f.u.

## ii
A plane-wave DFT calculation with PBE was carried out for crystalline LiHfBr2 at its relaxed geometry.

a b c (Å): 6.3805 6.3805 6.7379
angles (deg): 61.74 61.74 90.00
Sites, in units of the cell vectors:
Hf 0.0000 0.0000 0.0000
Hf 0.7500 0.2500 0.5000
Br 0.5915 0.1250 0.2500
Br 0.1585 0.6250 0.2500
Br 0.3750 0.4085 0.7500
Br 0.8750 0.8415 0.7500
Li 0.5000 0.5000 0.0000
Li 0.2500 0.7500 0.5000

Properties
The calculation puts the volume at 102 Å³/f.u.

## iii
A plane-wave DFT calculation with PBE was carried out for crystalline LiHfBr2 at its relaxed geometry.

a b c (Å): 4.7996 4.7996 4.7996
angles (deg): 60.00 60.00 60.00
Sites, in units of the cell vectors:
Hf 0.5000 0.5000 0.5000
Br 0.2500 0.2500 0.2500
Br 0.7500 0.7500 0.7500
Li 0.0000 0.0000 0.0000

Properties
The calculation puts the volume at 78 Å³/f.u.

So which one is most stable? That would be i, about 449 meV per atom below the next structure.